## PuPbI4 (PBE)

Data for a geometry-optimized PuPbI4 structure.

Cell: 16.9473 4.5783 8.0226 Å, 90.00 117.74 90.00°
Element x y z (fractional)
1 Pu 0.0000 0.0000 0.0000
2 Pu 0.5000 0.5000 0.0000
3 Pb 0.0000 0.5000 0.5000
4 Pb 0.5000 0.0000 0.5000
5 I 0.1226 0.5000 0.2796
6 I 0.1249 0.0000 0.7979
7 I 0.3751 0.5000 0.2021
8 I 0.3774 0.0000 0.7204
9 I 0.6226 0.0000 0.2796
10 I 0.6249 0.5000 0.7979
11 I 0.8751 0.0000 0.2021
12 I 0.8774 0.5000 0.7204

Output
* energy relative to the elements, uncorrected: -80.61 kJ/mol of atoms
* D(E_F): 2.943 states/eV per atom

=====

## HfZn2Hg2 (PBE)

Data for a geometry-optimized HfZn2Hg2 structure.

Cell: 7.8424 7.8424 3.2025 Å, 90.00 90.00 90.00°
Element x y z (fractional)
1 Hf 0.0000 0.0000 0.0000
2 Hf 0.5000 0.5000 0.0000
3 Zn 0.1695 0.3305 0.5000
4 Zn 0.3305 0.8305 0.5000
5 Zn 0.6695 0.1695 0.5000
6 Zn 0.8305 0.6695 0.5000
7 Hg 0.1344 0.6344 0.0000
8 Hg 0.3656 0.1344 0.0000
9 Hg 0.6344 0.8656 0.0000
10 Hg 0.8656 0.3656 0.0000

Output
* D(E_F): 0.478 states/eV per atom
* relative energy among the computed polymorphs: 44 meV/atom
* ΔE_f: 173 meV/atom

=====

## RbPaAs2 (PBE)

Data for a geometry-optimized RbPaAs2 structure.

Cell: 4.3110 4.3110 23.8730 Å, 90.00 90.00 120.00°
Element x y z (fractional)
1 Rb 0.0000 0.0000 0.0000
2 Rb 0.3333 0.6667 0.6667
3 Rb 0.6667 0.3333 0.3333
4 Pa 0.0000 0.0000 0.5000
5 Pa 0.3333 0.6667 0.1667
6 Pa 0.6667 0.3333 0.8333
7 As 0.0000 0.0000 0.2261
8 As 0.0000 0.0000 0.7739
9 As 0.3333 0.6667 0.4406
10 As 0.3333 0.6667 0.8928
11 As 0.6667 0.3333 0.1072
12 As 0.6667 0.3333 0.5594

Output
* relative energy among the computed polymorphs: 0 meV/atom
* ΔE_f: -802 meV/atom

=====

## Tb8Pm4Ho (PBE)

Data for a geometry-optimized Tb8Pm4Ho structure.

Cell: 7.8078 7.8078 7.8078 Å, 90.09 90.09 90.09°
Element x y z (fractional)
1 Tb 0.2395 0.2395 0.7595
2 Tb 0.2395 0.7595 0.2395
3 Tb 0.2398 0.2398 0.2398
4 Tb 0.2405 0.7605 0.7605
5 Tb 0.7595 0.2395 0.2395
6 Tb 0.7602 0.7602 0.7602
7 Tb 0.7605 0.2405 0.7605
8 Tb 0.7605 0.7605 0.2405
9 Pm 0.0000 0.0000 0.0000
10 Pm 0.0000 0.5000 0.5000
11 Pm 0.5000 0.0000 0.5000
12 Pm 0.5000 0.5000 0.0000
13 Ho 0.5000 0.5000 0.5000

Output
* D(E_F): 1.655 states/eV per atom
* ΔE_f: 507 meV/atom

=====

## Pa2GaGe4Rh3 (PBE)

Data for a geometry-optimized Pa2GaGe4Rh3 structure.

Cell: 4.1637 4.1637 10.4144 Å, 90.00 90.00 90.00°
Element x y z (fractional)
1 Pa 0.0000 0.5000 0.2434
2 Pa 0.5000 0.0000 0.7566
3 Ga 0.0000 0.0000 0.5000
4 Ge 0.0000 0.0000 0.0000
5 Ge 0.0000 0.5000 0.6407
6 Ge 0.5000 0.0000 0.3593
7 Ge 0.5000 0.5000 0.0000
8 Rh 0.0000 0.5000 0.8695
9 Rh 0.5000 0.0000 0.1305
10 Rh 0.5000 0.5000 0.5000

Output
* D(E_F): 0.577 states/eV per atom
* ΔE_f: -607 meV/atom

=====

## Ce3In12Ag (PBE)

Data for a geometry-optimized Ce3In12Ag structure.

Cell: 4.6951 4.6951 18.5304 Å, 90.00 90.00 90.00°
Element x y z (fractional)
1 Ce 0.0000 0.0000 0.0000
2 Ce 0.0000 0.0000 0.2566
3 Ce 0.0000 0.0000 0.7434
4 In 0.0000 0.5000 0.1281
5 In 0.0000 0.5000 0.3856
6 In 0.0000 0.5000 0.6144
7 In 0.0000 0.5000 0.8719
8 In 0.5000 0.0000 0.1281
9 In 0.5000 0.0000 0.3856
10 In 0.5000 0.0000 0.6144
11 In 0.5000 0.0000 0.8719
12 In 0.5000 0.5000 0.0000
13 In 0.5000 0.5000 0.2501
14 In 0.5000 0.5000 0.5000
15 In 0.5000 0.5000 0.7499
16 Ag 0.0000 0.0000 0.5000

Output
* D(E_F): 1.292 states/eV per atom
* ΔE_f: -280 meV/atom

=====

## Sm2PN4 (PBE)

Data for a geometry-optimized Sm2PN4 structure.

Cell: 5.4453 5.6044 6.7743 Å, 90.00 108.87 90.00°
Element x y z (fractional)
1 Sm 0.1889 0.2500 0.0330
2 Sm 0.2913 0.2500 0.5698
3 Sm 0.7087 0.7500 0.4302
4 Sm 0.8111 0.7500 0.9670
5 P 0.2433 0.7500 0.7891
6 P 0.7567 0.2500 0.2109
7 N 0.0486 0.5182 0.7394
8 N 0.0486 0.9818 0.7394
9 N 0.3916 0.7500 0.0473
10 N 0.4448 0.7500 0.6540
11 N 0.5552 0.2500 0.3460
12 N 0.6084 0.2500 0.9527
13 N 0.9514 0.0182 0.2606
14 N 0.9514 0.4818 0.2606

Output
* energy relative to the elements, uncorrected: -96.23 kJ/mol of atoms
* D(E_F): 0.500 states/eV per atom

=====

## LiEr3Tl3 (PBE)

Data for a geometry-optimized LiEr3Tl3 structure.

Cell: 6.0987 6.0987 14.8887 Å, 107.50 107.50 44.28°
Element x y z (fractional)
1 Li 0.2391 0.2391 0.3976
2 Li 0.7609 0.7609 0.6024
3 Er 0.2643 0.2643 0.7788
4 Er 0.4077 0.4077 0.0833
5 Er 0.4658 0.4658 0.6147
6 Er 0.5342 0.5342 0.3853
7 Er 0.5923 0.5923 0.9167
8 Er 0.7357 0.7357 0.2212
9 Tl 0.0238 0.0238 0.2388
10 Tl 0.1302 0.1302 0.0719
11 Tl 0.1396 0.1396 0.5552
12 Tl 0.8604 0.8604 0.4448
13 Tl 0.8698 0.8698 0.9281
14 Tl 0.9762 0.9762 0.7612

Output
* D(E_F): 0.669 states/eV per atom
* ΔE_f: -261 meV/atom

=====

Number 1: calculated total energy -58.507 eV for the cell shown. Number 2: calculated total energy -24.485 eV for the cell shown. Number 3: calculated total energy -68.907 eV for the cell shown. Number 4: calculated total energy -54.035 eV for the cell shown. Number 5: calculated total energy -68.615 eV for the cell shown. Number 6: calculated total energy -57.986 eV for the cell shown. Number 7: calculated total energy -110.262 eV for the cell shown. Number 8: calculated total energy -49.054 eV for the cell shown.